AlCoPO2 | PBE with a Hubbard U | relaxed

The structure belongs to space group P4/mmm (No. 123); the cell edges are 3.613, 3.613 and 4.868 Å and the angles 90.00°, 90.00° and 90.00°. Symmetry generates all atoms from Al at (0.000, 0.000, 0.000), Co at (0.500, 0.500, 0.500), P at (0.500, 0.500, 0.000) and O at (0.000, 0.500, 0.500).

Its energy above the most stable polymorph in this dataset is 199 kJ/mol of formula units. The value obtained for the magnetic moment is 0.484 μB per atom. The value obtained for the density of states at the Fermi level is 1.95 states/eV/f.u. The volume is 63.5 Å³ per cell.